[1]
This record from Alexandria describes a relaxed La3Zn2Pt crystal. The functional is PBE-GGA.

Geometry as POSCAR:
```
La3Zn2Pt
1.0
-1.7591 -3.8183 -2.2160
-0.6218 -5.0123 9.1303
-12.0127 4.5571 1.6836
La Zn Pt
12 8 4
direct
0.2500 0.3990 0.0531 La
0.7500 0.6010 0.9469 La
0.7500 0.8990 0.4469 La
0.2500 0.1010 0.5531 La
0.2500 0.7160 0.2440 La
0.7500 0.2840 0.7560 La
0.7500 0.2160 0.2560 La
0.2500 0.7840 0.7440 La
0.2500 0.4333 0.3923 La
0.7500 0.5667 0.6077 La
0.7500 0.9333 0.1077 La
0.2500 0.0667 0.8923 La
0.2500 0.7148 0.4924 Zn
0.7500 0.2852 0.5076 Zn
0.7500 0.2148 0.0076 Zn
0.2500 0.7852 0.9924 Zn
0.2500 0.0154 0.3013 Zn
0.7500 0.9846 0.6987 Zn
0.7500 0.5154 0.1987 Zn
0.2500 0.4846 0.8013 Zn
0.2500 0.1312 0.1167 Pt
0.7500 0.8688 0.8833 Pt
0.7500 0.6312 0.3833 Pt
0.2500 0.3688 0.6167 Pt
```

* ΔE_f: -0.57 eV/atom


[2]
This record from Alexandria describes a relaxed RhSIN2 crystal. The functional is PBE-GGA.

Geometry as POSCAR:
```
RhSIN2
1.0
-1.4097 -3.5786 -0.0312
3.3277 -1.2984 -1.4265
1.9792 -0.8265 5.3692
I S Rh N
1 1 1 2
direct
0.0000 0.0000 0.0000 I
0.0000 0.0000 0.5000 S
0.5000 0.5000 0.5000 Rh
0.0000 0.5000 0.0000 N
0.5000 0.0000 0.0000 N
```

* calculated total energy: -19.31 eV per formula unit


[3]
This record from Alexandria describes a relaxed Dy7Cu2Rh2 crystal. The functional is PBE-GGA.

Geometry as POSCAR:
```
Dy7Cu2Rh2
1.0
6.5067 -0.0025 -0.9327
0.0031 7.0448 0.0031
-1.3363 -0.0022 6.4359
Dy Cu Rh
7 2 2
direct
0.9998 0.2659 0.5003 Dy
0.5003 0.7341 0.9998 Dy
0.0002 0.7341 0.4997 Dy
0.4997 0.2659 0.0002 Dy
0.0000 0.0000 0.0000 Dy
0.5002 0.7406 0.4998 Dy
0.4998 0.2594 0.5002 Dy
0.8286 0.5000 0.8286 Cu
0.1714 0.5000 0.1714 Cu
0.7058 0.0000 0.2942 Rh
0.2942 0.0000 0.7058 Rh
```

* ΔE_f: -0.25 eV/atom


[4]
This record from Alexandria describes a relaxed Sc2P3 crystal. The functional is PBE-GGA.

Geometry as POSCAR:
```
Sc2P3
1.0
2.3103 -4.0016 0.0000
2.3103 4.0016 0.0000
0.0000 0.0000 5.2259
Sc P
2 3
direct
0.6667 0.3333 0.2350 Sc
0.3333 0.6667 0.7650 Sc
0.0000 0.0000 0.0000 P
0.6667 0.3333 0.7311 P
0.3333 0.6667 0.2689 P
```

* ΔE_f: -0.66 eV/atom


[5]
This record from Alexandria describes a relaxed Tb2GePt5 crystal. The functional is PBE-GGA.

Geometry as POSCAR:
```
Tb2GePt5
1.0
4.2521 0.0000 0.0000
0.0000 5.2398 0.0000
0.0000 0.0000 13.6609
Tb Ge Pt
4 2 10
direct
0.5000 0.2981 0.3415 Tb
0.5000 0.7019 0.6585 Tb
0.5000 0.2019 0.8415 Tb
0.5000 0.7981 0.1585 Tb
0.0000 0.0000 0.5000 Ge
0.0000 0.5000 0.0000 Ge
0.5000 0.2961 0.0686 Pt
0.5000 0.7039 0.9314 Pt
0.5000 0.7961 0.4314 Pt
0.5000 0.2039 0.5686 Pt
0.0000 0.2891 0.6976 Pt
0.0000 0.7109 0.3024 Pt
0.0000 0.7891 0.8024 Pt
0.0000 0.2109 0.1976 Pt
0.0000 0.5000 0.5000 Pt
0.0000 0.0000 0.0000 Pt
```

* ΔE_f: -0.88 eV/atom


[6]
This record from Alexandria describes a relaxed AsAu2S2 crystal. The functional is PBE-GGA.

Geometry as POSCAR:
```
AsAu2S2
1.0
-3.4537 -6.2527 -0.9671
2.6627 -2.4359 6.2398
-3.5249 1.6167 2.1353
As Au S
2 4 4
direct
0.0000 0.0000 0.0000 As
0.5000 0.5000 0.0000 As
0.1415 0.6415 0.5000 Au
0.6415 0.8585 0.5000 Au
0.8585 0.3585 0.5000 Au
0.3585 0.1415 0.5000 Au
0.2146 0.7146 0.0000 S
0.7146 0.7854 0.0000 S
0.7854 0.2854 0.0000 S
0.2854 0.2146 0.0000 S
```

* calculated total energy: -18.07 eV per formula unit


Record-wise magnetization values, in μB per cell: 0.00, 1.17, 0.00, 0.00, 0.00, 0.00